DFT (PBE) results for a relaxed structure of Ca2HoCd2.

Cell lengths 3.6818, 3.7912, 11.1552 Å; angles 80.22, 90.00, 90.00 degrees
Last column: nearest neighbours and their distance in Å.
Element x y z (fractional)
Ca1 0.0000 0.1733 0.6534  4 Cd 3.29, 2 Ca 3.68
Ca2 0.0000 0.8267 0.3466  4 Cd 3.29, 2 Ca 3.68
Ho1 0.0000 0.0000 0.0000  8 Cd 3.22
Cd1 0.5000 0.4162 0.1676  4 Ho 3.22, 4 Ca 3.29
Cd2 0.5000 0.5838 0.8324  4 Ho 3.22, 4 Ca 3.29

- Total magnetic moment: 0.00 μB per formula unit
- Energy relative to the elements: -1.14 eV/f.u.

DFT (PBE) results for a relaxed structure of Ca3SiSe.

Cell lengths 5.4037, 5.4037, 5.4037 Å; angles 90.00, 90.00, 90.00 degrees
Last column: nearest neighbours and their distance in Å.
Element x y z (fractional)
Ca1 0.0000 0.5000 0.0000  2 Se 2.70
Ca2 0.0000 0.0000 0.5000  2 Se 2.70
Ca3 0.5000 0.0000 0.0000  2 Se 2.70
Si1 0.5000 0.5000 0.5000  12 Ca 3.82
Se1 0.0000 0.0000 0.0000  6 Ca 2.70

- Total magnetic moment: 0.00 μB per formula unit
- Energy relative to the lowest polymorph listed for this composition: 0.000 eV per atom
- Formation energy (no corrections): -59.9 kJ per mole of atoms

DFT (PBE) results for a relaxed structure of Ba6In2OF.

Cell lengths 7.9162, 7.9160, 11.1923 Å; angles 90.00, 90.00, 90.00 degrees
Last column: nearest neighbours and their distance in Å.
Element x y z (fractional)
Ba1 0.5000 0.2500 0.2564  1 O 2.73, 1 F 2.87
Ba2 0.5000 0.2500 0.7436  1 O 2.73, 1 F 2.87
Ba3 0.0000 0.7500 0.2436  1 O 2.73, 1 F 2.87
Ba4 0.0000 0.7500 0.7564  1 O 2.73, 1 F 2.87
Ba5 0.2567 0.0057 0.5000  1 O 2.73, 1 F 2.87
Ba6 0.7433 0.0057 0.5000  1 O 2.73, 1 F 2.87
Ba7 0.2563 0.4927 0.5000  1 O 2.73, 1 F 2.87
Ba8 0.7437 0.4927 0.5000  1 O 2.73, 1 F 2.87
Ba9 0.7563 0.5073 0.0000  1 O 2.73, 1 F 2.87
Ba10 0.2437 0.5073 0.0000  1 O 2.73, 1 F 2.87
Ba11 0.2433 0.9943 0.0000  1 O 2.73, 1 F 2.87
Ba12 0.7567 0.9943 0.0000  1 O 2.73, 1 F 2.87
In1 0.5000 0.7500 0.2499  12 Ba 3.95-3.96
In2 0.0000 0.2500 0.7499  12 Ba 3.95-3.96
In3 0.5000 0.7500 0.7501  12 Ba 3.95-3.96
In4 0.0000 0.2500 0.2501  12 Ba 3.95-3.96
O1 0.5000 0.2494 0.5000  6 Ba 2.73
O2 0.0000 0.7506 0.0000  6 Ba 2.73
F1 0.0000 0.7493 0.5000  6 Ba 2.87
F2 0.5000 0.2507 0.0000  6 Ba 2.87

- Total magnetic moment: 0.00 μB per formula unit
- Formation energy (no corrections): -120.1 kJ per mole of atoms

DFT (PBE) results for a relaxed structure of AgSe2IBr.

Cell lengths 5.2313, 5.2313, 5.0961 Å; angles 90.00, 90.00, 90.00 degrees
Last column: nearest neighbours and their distance in Å.
Element x y z (fractional)
I1 0.5000 0.5000 0.5000  8 Se 3.65, 4 Br 3.70
Se1 0.0000 0.5000 0.0000  2 Ag 2.62
Se2 0.5000 0.0000 0.0000  2 Ag 2.62
Br1 0.0000 0.0000 0.5000  2 Ag 2.55
Ag1 0.0000 0.0000 0.0000  2 Br 2.55, 4 Se 2.62

- Total magnetic moment: 0.00 μB per formula unit
- Energy relative to the lowest polymorph listed for this composition: 0.000 eV per atom
- Formation energy (no corrections): 47.4 kJ per mole of atoms

DFT (PBE) results for a relaxed structure of Pa4Ni2Ge5.

Cell lengths 3.3171, 7.1640, 9.1749 Å; angles 91.87, 90.00, 90.00 degrees
Last column: nearest neighbours and their distance in Å.
Element x y z (fractional)
Pa1 0.5000 0.7446 0.5647  4 Ni 2.82-2.90, 6 Ge 3.03-3.09
Pa2 0.5000 0.1823 0.8829  2 Ni 2.94, 8 Ge 2.99-3.08
Pa3 0.5000 0.2554 0.4353  4 Ni 2.82-2.90, 6 Ge 3.03-3.09
Pa4 0.5000 0.8177 0.1171  2 Ni 2.94, 8 Ge 2.99-3.08
Ni1 0.0000 0.0679 0.6311  1 Ni 2.57, 2 Ge 2.57-2.59, 2 Pa 2.82
Ni2 0.0000 0.9321 0.3689  1 Ni 2.57, 2 Ge 2.57-2.59, 2 Pa 2.82
Ge1 0.0000 0.5758 0.3086  1 Ni 2.59, 1 Ge 2.87
Ge2 0.0000 0.1697 0.1656  1 Ni 2.57, 1 Ge 2.85
Ge3 0.0000 0.5000 0.0000  4 Ge 2.85-2.87, 4 Pa 2.99
Ge4 0.0000 0.8303 0.8344  1 Ni 2.57, 1 Ge 2.85
Ge5 0.0000 0.4242 0.6914  1 Ni 2.59, 1 Ge 2.87

- Total magnetic moment: 0.00 μB per formula unit
- Energy relative to the elements: -4.57 eV/f.u.

DFT (PBE) results for a relaxed structure of TmH6Ru2.

Cell lengths 3.5668, 4.9721, 5.4645 Å; angles 74.32, 70.95, 68.98 degrees
Last column: nearest neighbours and their distance in Å.
Element x y z (fractional)
Tm1 0.0000 0.5000 0.5000  8 H 2.10-2.35
H1 0.7173 0.6581 0.9074  3 Ru 1.83-1.95
H2 0.2827 0.3419 0.0926  3 Ru 1.83-1.95
H3 0.9565 0.8781 0.2090  2 Ru 1.75-1.80
H4 0.3479 0.7214 0.5828  1 Ru 1.67
H5 0.0435 0.1219 0.7910  2 Ru 1.75-1.80
H6 0.6521 0.2786 0.4172  1 Ru 1.67
Ru1 0.1768 0.7444 0.9021  5 H 1.67-1.83
Ru2 0.8232 0.2556 0.0979  5 H 1.67-1.83

- Total magnetic moment: 0.00 μB per formula unit
- Energy relative to the lowest polymorph listed for this composition: 0.041 eV per atom

DFT (PBE) results for a relaxed structure of Sr2SiPt3.

Cell lengths 4.1175, 4.4562, 7.7939 Å; angles 90.00, 90.00, 90.00 degrees
Last column: nearest neighbours and their distance in Å.
Element x y z (fractional)
Sr1 0.5000 0.0000 0.0102  10 Pt 3.23-3.59, 2 Si 3.48
Sr2 0.0000 0.0000 0.4850  8 Pt 3.16-3.42, 4 Si 3.35
Si1 0.5000 0.5000 0.6669  3 Pt 2.30-2.36
Pt1 0.0000 0.5000 0.1517  3 Pt 2.63-2.68
Pt2 0.0000 0.5000 0.8147  2 Si 2.36, 1 Pt 2.63
Pt3 0.5000 0.5000 0.3713  1 Si 2.30

- Total magnetic moment: 0.00 μB per formula unit
- Formation energy (no corrections): -81.3 kJ per mole of atoms

DFT (PBE) results for a relaxed structure of Si2MoAs.

Cell lengths 4.6877, 4.6877, 4.4078 Å; angles 85.44, 85.44, 39.58 degrees
Last column: nearest neighbours and their distance in Å.
Element x y z (fractional)
As1 0.7500 0.7500 0.7500  2 Si 2.49, 4 Mo 2.72
Mo1 0.2500 0.2500 0.2500  6 Si 2.62-2.70, 4 As 2.72
Si1 0.9822 0.9822 0.0337  1 As 2.49, 2 Si 2.52, 3 Mo 2.62-2.70
Si2 0.5178 0.5178 0.4663  1 As 2.49, 2 Si 2.52, 3 Mo 2.62-2.70

- Total magnetic moment: 0.00 μB per formula unit
- Formation energy (no corrections): 18.0 kJ per mole of atoms

DFT (PBE) results for a relaxed structure of Nd5SiS5.

Cell lengths 5.7886, 7.1408, 8.2508 Å; angles 106.73, 90.00, 113.91 degrees
Last column: nearest neighbours and their distance in Å.
Element x y z (fractional)
Nd1 0.8396 0.6792 0.1763  5 S 2.83-2.91, 1 Si 2.90
Nd2 0.8345 0.6691 0.6636  5 S 2.89-2.93, 1 Si 2.93
Nd3 0.5000 0.0000 0.0000  2 Si 2.89, 4 S 2.93-2.94
Nd4 0.1655 0.3309 0.3364  5 S 2.89-2.93, 1 Si 2.93
Nd5 0.1604 0.3208 0.8237  5 S 2.83-2.91, 1 Si 2.90
Si1 0.0000 0.0000 0.0000  6 Nd 2.89-2.93
S1 0.6707 0.3414 0.3314  5 Nd 2.88-2.93
S2 0.6735 0.3470 0.8436  5 Nd 2.90-2.94
S3 0.0000 0.0000 0.5000  4 Nd 2.83-2.89
S4 0.3265 0.6530 0.1564  5 Nd 2.90-2.94
S5 0.3293 0.6586 0.6686  5 Nd 2.88-2.93

- Total magnetic moment: 0.00 μB per formula unit
- Formation energy (no corrections): -174.0 kJ per mole of atoms

DFT (PBE) results for a relaxed structure of HoU5C6.

Cell lengths 6.0799, 6.0474, 6.0522 Å; angles 60.03, 80.41, 70.53 degrees
Last column: nearest neighbours and their distance in Å.
Element x y z (fractional)
C1 0.7399 0.0874 0.3462  5 U 2.40-2.48, 1 Ho 2.57
C2 0.2601 0.5664 0.3462  5 U 2.40-2.48, 1 Ho 2.57
C3 0.2496 0.2667 0.0000  5 U 2.40-2.49, 1 Ho 2.56
C4 0.7504 0.7333 0.0000  5 U 2.40-2.49, 1 Ho 2.56
C5 0.7399 0.4336 0.6538  5 U 2.40-2.48, 1 Ho 2.57
C6 0.2601 0.9126 0.6538  5 U 2.40-2.48, 1 Ho 2.57
U1 0.5000 0.1628 0.6745  6 C 2.40-2.49
U2 0.0000 0.3318 0.3364  6 C 2.44-2.48
U3 0.5000 0.5000 0.0000  6 C 2.40-2.47
U4 0.0000 0.6682 0.6636  6 C 2.44-2.48
U5 0.5000 0.8372 0.3255  6 C 2.40-2.49
Ho1 0.0000 0.0000 0.0000  6 C 2.56-2.57

- Total magnetic moment: 0.00 μB per formula unit
- Energy relative to the elements: -1.93 eV/f.u.

What is the total magnetic moment in the eighth record? 0.00 μB per formula unit

What is the total magnetic moment in the second record? 0.00 μB per formula unit

What is the total magnetic moment in the third record? 0.00 μB per formula unit

Please write out number 4 again, unchanged.
DFT (PBE) results for a relaxed structure of AgSe2IBr.

Cell lengths 5.2313, 5.2313, 5.0961 Å; angles 90.00, 90.00, 90.00 degrees
Last column: nearest neighbours and their distance in Å.
Element x y z (fractional)
I1 0.5000 0.5000 0.5000  8 Se 3.65, 4 Br 3.70
Se1 0.0000 0.5000 0.0000  2 Ag 2.62
Se2 0.5000 0.0000 0.0000  2 Ag 2.62
Br1 0.0000 0.0000 0.5000  2 Ag 2.55
Ag1 0.0000 0.0000 0.0000  2 Br 2.55, 4 Se 2.62

- Total magnetic moment: 0.00 μB per formula unit
- Energy relative to the lowest polymorph listed for this composition: 0.000 eV per atom
- Formation energy (no corrections): 47.4 kJ per mole of atoms